# TiCo2HAu (GGA-PBE, optimized geometry)
# Total magnetic moment in μB per cell: 0.00
# DFT total energy in eV per atom: -5.9403
data_TiCo2HAu
_chemical_formula_sum 'Ti1 Co2 H1 Au1'
_cell_length_a 3.801
_cell_length_b 3.801
_cell_length_c 3.815
_cell_angle_alpha 90.00
_cell_angle_beta 90.00
_cell_angle_gamma 90.00
_symmetry_space_group_name_H-M 'P 4/m m m'
_symmetry_Int_Tables_number 123
_symmetry_space_group_name_Hall '-P 4 2'
loop_
_atom_site_label
_atom_site_fract_x
_atom_site_fract_y
_atom_site_fract_z
Ti1 0.000 0.000 0.000
Co1 0.000 0.500 0.500
H1 0.000 0.000 0.500
Au1 0.500 0.500 0.000